Here is a relaxed structure of YScFeAg2 from Alexandria via LeMat-Bulk. Energies are from PBE.

```
YScFeAg2
1.0
5.0354 0.0000 0.0000
0.0000 5.0354 0.0000
0.0000 0.0000 4.3329
Y Sc Fe Ag
1 1 1 2
Cartesian
0.0000 0.0000 0.0000 Y
2.5177 2.5177 0.0000 Sc
2.5177 2.5177 2.1664 Fe
0.0000 2.5177 2.1664 Ag
2.5177 0.0000 2.1664 Ag
```

Values from the calculation:
As for the formation energy: 0.249 eV/atom.

Here is a relaxed structure of Fe3AgSe from Alexandria via LeMat-Bulk. Energies are from PBE.

```
Fe3AgSe
1.0
4.7233 0.0000 0.0000
0.0000 4.7233 0.0000
0.0000 0.0000 4.7233
Fe Ag Se
3 1 1
Cartesian
0.0000 0.0000 2.3616 Fe
0.0000 2.3616 0.0000 Fe
2.3616 0.0000 0.0000 Fe
0.0000 0.0000 0.0000 Ag
2.3616 2.3616 2.3616 Se
```

Values from the calculation:
The energy relative to the elements, uncorrected comes out at 7.2 eV per formula unit. The value obtained for the offset from the most stable computed form is 0.7597 eV per atom.

Here is a relaxed structure of FeAgSe2 from Alexandria via LeMat-Bulk. Energies are from PBE.

```
FeAgSe2
1.0
3.6278 0.0000 0.0000
0.0000 3.6278 0.0000
0.0000 0.0000 13.7383
Fe Ag Se
2 2 4
Cartesian
0.0000 0.0000 0.0000 Fe
1.8139 1.8139 6.8691 Fe
0.0000 1.8139 3.4346 Ag
1.8139 0.0000 10.3037 Ag
0.0000 0.0000 6.8691 Se
0.0000 1.8139 10.3037 Se
1.8139 0.0000 3.4346 Se
1.8139 1.8139 0.0000 Se
```

Values from the calculation:
The energy relative to the elements, uncorrected comes out at 1.2 eV per formula unit.

Here is a relaxed structure of FeAgSe2 from Alexandria via LeMat-Bulk. Energies are from PBE.

```
FeAgSe2
1.0
4.6657 0.0000 0.0000
0.0000 4.6657 0.0000
0.0000 0.0000 3.3450
Fe Ag Se
1 1 2
Cartesian
0.0000 0.0000 0.0000 Fe
2.3328 2.3328 0.0000 Ag
0.0000 2.3328 1.6725 Se
2.3328 0.0000 1.6725 Se
```

Values from the calculation:
The energy relative to the elements, uncorrected comes out at 1.4 eV per formula unit.

Here is a relaxed structure of Fe2AgSe from Alexandria via LeMat-Bulk. Energies are from PBE.

```
Fe2AgSe
1.0
8.2229 0.0000 0.0000
0.0000 3.1460 0.0000
-1.2291 0.0000 4.9151
Fe Ag Se
4 2 2
Cartesian
1.7379 0.0000 0.9348 Fe
1.1444 1.5730 3.9803 Fe
5.8494 1.5730 0.9348 Fe
5.2559 0.0000 3.9803 Fe
-0.6145 0.0000 2.4575 Ag
3.4969 1.5730 2.4575 Ag
0.0000 1.5730 0.0000 Se
4.1115 0.0000 0.0000 Se
```

Values from the calculation:
The energy relative to the elements, uncorrected comes out at 1.6 eV per formula unit.

Here is a relaxed structure of FeAgSe2 from Alexandria via LeMat-Bulk. Energies are from PBE.

```
FeAgSe2
1.0
2.9364 0.0000 0.0000
0.0000 2.9364 0.0000
0.0000 0.0000 8.8192
Fe Ag Se
1 1 2
Cartesian
0.0000 0.0000 0.0000 Fe
1.4682 1.4682 6.8005 Ag
0.0000 0.0000 4.6257 Se
1.4682 1.4682 1.2081 Se
```

Values from the calculation:
The energy relative to the elements, uncorrected comes out at 0.6 eV per formula unit.

Here is a relaxed structure of FeAgSe2 from Alexandria via LeMat-Bulk. Energies are from PBE.

```
FeAgSe2
1.0
2.8695 0.0000 0.0000
-1.4347 2.4850 0.0000
0.0000 0.0000 33.5709
Fe Ag Se
3 3 6
Cartesian
0.0000 0.0000 0.0000 Fe
0.0000 1.6567 22.3806 Fe
1.4347 0.8283 11.1903 Fe
0.0000 0.0000 16.7854 Ag
0.0000 1.6567 5.5952 Ag
1.4347 0.8283 27.9757 Ag
0.0000 0.0000 2.3568 Se
0.0000 0.0000 31.2141 Se
0.0000 1.6567 20.0238 Se
0.0000 1.6567 24.7373 Se
1.4347 0.8283 8.8335 Se
1.4347 0.8283 13.5471 Se
```

Values from the calculation:
The energy relative to the elements, uncorrected comes out at 1.7 eV per formula unit.

Here is a relaxed structure of FeAgSe2 from Alexandria via LeMat-Bulk. Energies are from PBE.

```
FeAgSe2
1.0
6.4309 0.0000 0.0000
0.0000 6.4309 0.0000
0.0000 0.0000 6.4309
Fe Ag Se
4 4 8
Cartesian
0.0000 0.0000 0.0000 Fe
0.0000 3.2154 3.2154 Fe
3.2154 0.0000 3.2154 Fe
3.2154 3.2154 0.0000 Fe
0.0000 0.0000 3.2154 Ag
0.0000 3.2154 0.0000 Ag
3.2154 0.0000 0.0000 Ag
3.2154 3.2154 3.2154 Ag
1.6077 1.6077 1.6077 Se
1.6077 1.6077 4.8232 Se
1.6077 4.8232 1.6077 Se
1.6077 4.8232 4.8232 Se
4.8232 1.6077 1.6077 Se
4.8232 1.6077 4.8232 Se
4.8232 4.8232 1.6077 Se
4.8232 4.8232 4.8232 Se
```

Values from the calculation:
The energy relative to the elements, uncorrected comes out at 1.7 eV per formula unit.

Here is a relaxed structure of Fe2AgSe from Alexandria via LeMat-Bulk. Energies are from PBE.

```
Fe2AgSe
1.0
2.9100 0.0000 0.0000
-1.4550 2.5201 0.0000
0.0000 0.0000 24.4930
Fe Ag Se
6 3 3
Cartesian
0.0000 0.0000 5.9397 Fe
0.0000 0.0000 18.5534 Fe
0.0000 1.6801 10.3890 Fe
0.0000 1.6801 22.2684 Fe
1.4550 0.8400 2.2247 Fe
1.4550 0.8400 14.1040 Fe
0.0000 0.0000 0.0000 Ag
0.0000 1.6801 16.3287 Ag
1.4550 0.8400 8.1643 Ag
0.0000 0.0000 12.2465 Se
0.0000 1.6801 4.0822 Se
1.4550 0.8400 20.4109 Se
```

Values from the calculation:
The energy relative to the elements, uncorrected comes out at 1.5 eV per formula unit.

Here is a relaxed structure of FeAgSe2 from Alexandria via LeMat-Bulk. Energies are from PBE.

```
FeAgSe2
1.0
3.2025 0.0000 0.0000
0.0000 3.6109 0.0000
0.0000 0.0000 13.2357
Fe Ag Se
2 2 4
Cartesian
0.0000 0.0000 0.0000 Fe
1.6012 1.8054 6.6179 Fe
0.0000 1.8054 3.4491 Ag
1.6012 0.0000 10.0670 Ag
0.0000 0.0000 5.6094 Se
0.0000 1.8054 8.4831 Se
1.6012 0.0000 1.8652 Se
1.6012 1.8054 12.2273 Se
```

Values from the calculation:
The energy relative to the elements, uncorrected comes out at 0.2 eV per formula unit.

Here is a relaxed structure of FeAgSe3 from Alexandria via LeMat-Bulk. Energies are from PBE.

```
FeAgSe3
1.0
4.7188 0.0000 0.0000
0.0000 4.7188 0.0000
0.0000 0.0000 4.7188
Fe Ag Se
1 1 3
Cartesian
0.0000 0.0000 0.0000 Fe
2.3594 2.3594 2.3594 Ag
0.0000 0.0000 2.3594 Se
0.0000 2.3594 0.0000 Se
2.3594 0.0000 0.0000 Se
```

Values from the calculation:
The energy relative to the elements, uncorrected comes out at 2.2 eV per formula unit.

Here is a relaxed structure of Fe2AgSe from Alexandria via LeMat-Bulk. Energies are from PBE.

```
Fe2AgSe
1.0
5.7216 0.0000 0.0000
0.0000 5.7288 0.0000
0.0000 0.0000 3.7582
Fe Ag Se
4 2 2
Cartesian
1.4304 1.4322 0.0000 Fe
1.4304 4.2966 0.0000 Fe
4.2912 1.4322 0.0000 Fe
4.2912 4.2966 0.0000 Fe
0.0000 0.0000 1.8791 Ag
2.8608 2.8644 1.8791 Ag
0.0000 2.8644 1.8791 Se
2.8608 0.0000 1.8791 Se
```

Values from the calculation:
The energy relative to the elements, uncorrected comes out at 1.6 eV per formula unit.

Here is a relaxed structure of Fe4AgSe from Alexandria via LeMat-Bulk. Energies are from PBE.

```
Fe4AgSe
1.0
0.0000 3.5133 3.5133
3.5133 0.0000 3.5133
3.5133 3.5133 0.0000
Fe Ag Se
4 1 1
Cartesian
2.6416 2.6416 2.6416 Fe
4.3851 4.3851 2.6416 Fe
4.3851 2.6416 4.3851 Fe
2.6416 4.3851 4.3851 Fe
5.2700 5.2700 5.2700 Ag
0.0000 0.0000 0.0000 Se
```

Values from the calculation:
The energy relative to the elements, uncorrected comes out at 2.4 eV per formula unit.

Here is a relaxed structure of FeAgSe2 from Alexandria via LeMat-Bulk. Energies are from PBE.

```
FeAgSe2
1.0
6.6769 0.0000 0.0000
0.0000 6.6769 0.0000
0.0000 0.0000 6.6769
Fe Ag Se
4 4 8
Cartesian
0.0000 0.0000 0.0000 Fe
0.0000 3.3384 3.3384 Fe
3.3384 0.0000 3.3384 Fe
3.3384 3.3384 0.0000 Fe
1.6692 1.6692 1.6692 Ag
1.6692 5.0077 5.0077 Ag
5.0077 1.6692 5.0077 Ag
5.0077 5.0077 1.6692 Ag
0.0000 0.0000 3.3384 Se
0.0000 3.3384 0.0000 Se
1.6692 1.6692 5.0077 Se
1.6692 5.0077 1.6692 Se
3.3384 0.0000 0.0000 Se
3.3384 3.3384 3.3384 Se
5.0077 1.6692 1.6692 Se
5.0077 5.0077 5.0077 Se
```

Values from the calculation:
The energy relative to the elements, uncorrected comes out at 2.4 eV per formula unit.

Here is a relaxed structure of Fe2AgSe from Alexandria via LeMat-Bulk. Energies are from PBE.

```
Fe2AgSe
1.0
8.1602 0.0000 0.0000
0.0000 3.0386 0.0000
-0.7842 0.0000 5.2969
Fe Ag Se
4 2 2
Cartesian
0.0000 0.0000 0.0000 Fe
1.7179 1.5193 0.8093 Fe
4.0801 1.5193 0.0000 Fe
5.7980 0.0000 0.8093 Fe
1.4623 0.0000 3.7680 Ag
5.5424 1.5193 3.7680 Ag
3.4636 0.0000 1.8351 Se
7.5437 1.5193 1.8351 Se
```

Values from the calculation:
The energy relative to the elements, uncorrected comes out at 1.1 eV per formula unit.

Here is a relaxed structure of Fe2AgSe from Alexandria via LeMat-Bulk. Energies are from PBE.

```
Fe2AgSe
1.0
6.7409 0.0000 0.0000
0.0000 6.7409 0.0000
0.0000 0.0000 5.2630
Fe Ag Se
8 4 4
Cartesian
1.3221 1.6852 0.6579 Fe
1.6852 4.6925 1.9736 Fe
1.6852 5.4188 4.6051 Fe
2.0484 1.6852 3.2894 Fe
4.6925 5.0557 3.2894 Fe
5.0557 1.3221 4.6051 Fe
5.0557 2.0484 1.9736 Fe
5.4188 5.0557 0.6579 Fe
0.0000 0.0000 2.6315 Ag
0.0000 3.3705 3.9472 Ag
3.3705 0.0000 1.3157 Ag
3.3705 3.3705 0.0000 Ag
0.0000 0.0000 0.0000 Se
0.0000 3.3705 1.3157 Se
3.3705 0.0000 3.9472 Se
3.3705 3.3705 2.6315 Se
```

Values from the calculation:
The energy relative to the elements, uncorrected comes out at 2.8 eV per formula unit.

Here is a relaxed structure of FeAgSe2 from Alexandria via LeMat-Bulk. Energies are from PBE.

```
FeAgSe2
1.0
3.6446 0.0000 0.0000
0.0000 3.6446 0.0000
0.0000 0.0000 6.6846
Fe Ag Se
1 1 2
Cartesian
0.0000 0.0000 0.0000 Fe
1.8223 1.8223 4.7802 Ag
0.0000 0.0000 4.2156 Se
1.8223 1.8223 0.8228 Se
```

Values from the calculation:
The energy relative to the elements, uncorrected comes out at 0.3 eV per formula unit.

Here is a relaxed structure of FeAgSe2 from Alexandria via LeMat-Bulk. Energies are from PBE.

```
FeAgSe2
1.0
3.5015 0.0000 0.0000
-1.7507 3.0324 0.0000
0.0000 0.0000 23.0172
Fe Ag Se
3 3 6
Cartesian
0.0000 0.0000 0.0000 Fe
0.0000 2.0216 15.3448 Fe
1.7507 1.0108 7.6724 Fe
0.0000 0.0000 11.5086 Ag
0.0000 2.0216 3.8362 Ag
1.7507 1.0108 19.1810 Ag
0.0000 0.0000 8.9590 Se
0.0000 0.0000 14.0582 Se
0.0000 2.0216 1.2866 Se
0.0000 2.0216 6.3858 Se
1.7507 1.0108 16.6314 Se
1.7507 1.0108 21.7306 Se
```

Values from the calculation:
The energy relative to the elements, uncorrected comes out at -0.5 eV per formula unit.

Here is a relaxed structure of FeAgSe2 from Alexandria via LeMat-Bulk. Energies are from PBE.

```
FeAgSe2
1.0
3.5373 0.0000 0.0000
-1.7687 3.0634 0.0000
0.0000 0.0000 21.0061
Fe Ag Se
3 3 6
Cartesian
0.0000 0.0000 0.0000 Fe
0.0000 2.0423 14.0041 Fe
1.7687 1.0211 7.0020 Fe
0.0000 0.0000 10.5030 Ag
0.0000 2.0423 3.5010 Ag
1.7687 1.0211 17.5051 Ag
0.0000 0.0000 5.5246 Se
0.0000 0.0000 15.4815 Se
0.0000 2.0423 8.4794 Se
0.0000 2.0423 19.5287 Se
1.7687 1.0211 1.4774 Se
1.7687 1.0211 12.5266 Se
```

Values from the calculation:
The energy relative to the elements, uncorrected comes out at -0.3 eV per formula unit.

Here is a relaxed structure of FeAgSe2 from Alexandria via LeMat-Bulk. Energies are from PBE.

```
FeAgSe2
1.0
3.0467 0.0000 0.0000
0.0000 4.7215 0.0000
0.0000 0.0000 12.7433
Fe Ag Se
2 2 4
Cartesian
0.0000 0.0000 0.0000 Fe
1.5234 2.3608 6.3716 Fe
0.0000 0.0000 6.3716 Ag
1.5234 2.3608 0.0000 Ag
0.0000 2.3608 4.5712 Se
0.0000 2.3608 8.1720 Se
1.5234 0.0000 1.8004 Se
1.5234 0.0000 10.9429 Se
```

Values from the calculation:
The energy relative to the elements, uncorrected comes out at -0.2 eV per formula unit.

no.,Fermi-level density of states (states/eV/cell),final energy (eV/atom)
1,6.361,-5.143
2,8.334,-4.906
3,10.895,-4.269
4,3.640,-4.219
5,6.935,-5.408
6,3.887,-4.428
7,14.126,-4.135
8,23.395,-4.146
9,8.866,-5.433
10,5.986,-4.529
11,7.234,-3.910
12,7.676,-5.416
13,5.584,-6.296
14,20.410,-3.962
15,4.232,-5.538
16,38.676,-5.119
17,3.176,-4.501
18,16.120,-4.684
19,10.786,-4.638
20,3.032,-4.628